# 1
Material: HoHfZr2P4
Method: DFT, PBE
State: optimized geometry Values from VASP.

The structure in Quantum ESPRESSO input format:
```
&SYSTEM
  ibrav = 0, nat = 8, ntyp = 4
/
ATOMIC_SPECIES
Ho 164.93 Ho.upf
Hf 178.49 Hf.upf
Zr 91.22 Zr.upf
P 30.97 P.upf
CELL_PARAMETERS angstrom
6.561 0.000 0.000
0.000 3.778 0.000
-2.175 0.000 6.197
ATOMIC_POSITIONS angstrom
Ho 0.000 0.000 0.000
Hf 3.280 1.889 0.000
Zr -1.088 1.889 3.098
Zr 2.193 0.000 3.098
P 0.056 0.000 4.646
P 1.145 1.889 1.585
P 3.241 1.889 4.612
P 4.329 0.000 1.551
```

Calculated values
M_tot = 0.00 μB per formula unit
SG = No. 10
DOS at the Fermi energy = 2.92 states/eV/cell
formation enthalpy at 0 K = -10.99 eV per formula unit



# 2
Material: GdAlZnHg
Method: DFT, PBE
State: optimized geometry Values from VASP.

The structure in Quantum ESPRESSO input format:
```
&SYSTEM
  ibrav = 0, nat = 4, ntyp = 4
/
ATOMIC_SPECIES
Gd 157.25 Gd.upf
Al 26.98 Al.upf
Zn 65.41 Zn.upf
Hg 200.59 Hg.upf
CELL_PARAMETERS angstrom
0.000 3.485 3.485
3.485 0.000 3.485
3.485 3.485 0.000
ATOMIC_POSITIONS angstrom
Gd 0.000 0.000 0.000
Al 3.485 3.485 3.485
Zn 1.742 1.742 1.742
Hg 5.227 5.227 5.227
```

Calculated values
M_tot = 6.88 μB per formula unit
SG = No. 216
DOS at the Fermi energy = 1.46 states/eV/cell
formation enthalpy at 0 K = -1.13 eV per formula unit



# 3
Material: PrHoEr2Tm4
Method: DFT, PBE
State: optimized geometry Values from VASP.

The structure in Quantum ESPRESSO input format:
```
&SYSTEM
  ibrav = 0, nat = 16, ntyp = 4
/
ATOMIC_SPECIES
Pr 140.91 Pr.upf
Ho 164.93 Ho.upf
Er 167.26 Er.upf
Tm 168.93 Tm.upf
CELL_PARAMETERS angstrom
-3.369 5.835 6.606
3.369 -5.835 6.606
3.369 5.835 -6.606
ATOMIC_POSITIONS angstrom
Pr 0.000 0.000 0.000
Pr 0.000 5.835 0.000
Ho -1.684 2.918 3.303
Ho 1.684 2.918 3.303
Er 1.684 2.918 -3.303
Er 1.684 -2.918 3.303
Er 3.369 0.000 0.000
Er 0.000 0.000 6.606
Tm 3.369 -0.007 3.279
Tm 1.695 2.918 -0.008
Tm 5.042 2.918 -0.008
Tm 3.369 5.828 -3.279
Tm 0.000 0.007 9.885
Tm -1.674 2.918 6.614
Tm 1.674 2.918 6.614
Tm 0.000 5.843 3.327
```

Calculated values
M_tot = 2.59 μB per formula unit
SG = No. 74
DOS at the Fermi energy = 34.79 states/eV/cell
formation enthalpy at 0 K = 3.57 eV per formula unit



# 4
Material: Ac2CuS
Method: DFT, PBE
State: optimized geometry Values from VASP.

The structure in Quantum ESPRESSO input format:
```
&SYSTEM
  ibrav = 0, nat = 4, ntyp = 3
/
ATOMIC_SPECIES
Ac 227.00 Ac.upf
Cu 63.55 Cu.upf
S 32.06 S.upf
CELL_PARAMETERS angstrom
2.160 1.247 7.470
-2.160 1.247 7.470
0.000 -2.495 7.470
ATOMIC_POSITIONS angstrom
Ac 0.000 0.000 5.570
Ac 0.000 0.000 16.840
Cu 0.000 0.000 0.000
S 0.000 0.000 11.205
```

Calculated values
M_tot = 0.00 μB per formula unit
polymorph energy (0 for the lowest one) = 0 meV per atom
SG = No. 166
formation energy without anion corrections = -957 meV/atom
DOS at the Fermi energy = 4.51 states/eV/cell



# 5
Material: Ac4Nd3Hg
Method: DFT, PBE
State: optimized geometry Values from VASP.

The structure in Quantum ESPRESSO input format:
```
&SYSTEM
  ibrav = 0, nat = 8, ntyp = 3
/
ATOMIC_SPECIES
Ac 227.00 Ac.upf
Nd 144.24 Nd.upf
Hg 200.59 Hg.upf
CELL_PARAMETERS angstrom
3.940 0.000 0.000
0.000 3.940 0.000
0.000 0.000 19.872
ATOMIC_POSITIONS angstrom
Ac 0.000 0.000 2.081
Ac 0.000 0.000 7.337
Ac 0.000 0.000 12.536
Ac 0.000 0.000 17.791
Nd 1.970 1.970 4.760
Nd 1.970 1.970 9.936
Nd 1.970 1.970 15.112
Hg 1.970 1.970 0.000
```

Calculated values
M_tot = 0.00 μB per formula unit
SG = No. 123
DOS at the Fermi energy = 11.25 states/eV/cell
formation enthalpy at 0 K = -0.77 eV per formula unit



# 6
Material: BaMnCd2Pt
Method: DFT, PBE
State: optimized geometry Values from VASP.

The structure in Quantum ESPRESSO input format:
```
&SYSTEM
  ibrav = 0, nat = 5, ntyp = 4
/
ATOMIC_SPECIES
Ba 137.33 Ba.upf
Mn 54.94 Mn.upf
Cd 112.41 Cd.upf
Pt 195.08 Pt.upf
CELL_PARAMETERS angstrom
5.163 0.000 0.000
0.000 5.163 0.000
0.000 0.000 4.729
ATOMIC_POSITIONS angstrom
Ba 0.000 0.000 0.000
Mn 2.582 2.582 2.364
Cd 0.000 2.582 2.364
Cd 2.582 0.000 2.364
Pt 2.582 2.582 0.000
```

Calculated values
M_tot = 0.00 μB per formula unit
SG = No. 123
DOS at the Fermi energy = 3.67 states/eV/cell
formation enthalpy at 0 K = 0.62 eV per formula unit



# 7
Material: AcCePrAu
Method: DFT, PBE
State: optimized geometry Values from VASP.

The structure in Quantum ESPRESSO input format:
```
&SYSTEM
  ibrav = 0, nat = 4, ntyp = 4
/
ATOMIC_SPECIES
Ac 227.00 Ac.upf
Ce 140.12 Ce.upf
Pr 140.91 Pr.upf
Au 196.97 Au.upf
CELL_PARAMETERS angstrom
0.000 3.902 3.902
3.902 0.000 3.902
3.902 3.902 0.000
ATOMIC_POSITIONS angstrom
Ac 0.000 0.000 0.000
Ce 1.951 1.951 1.951
Pr 5.853 5.853 5.853
Au 3.902 3.902 3.902
```

Calculated values
M_tot = 2.49 μB per formula unit
SG = No. 216
DOS at the Fermi energy = 8.47 states/eV/cell
formation enthalpy at 0 K = -0.03 eV per formula unit



# 8
Material: NiAg2P
Method: DFT, PBE
State: optimized geometry Values from VASP.

The structure in Quantum ESPRESSO input format:
```
&SYSTEM
  ibrav = 0, nat = 4, ntyp = 3
/
ATOMIC_SPECIES
Ni 58.69 Ni.upf
Ag 107.87 Ag.upf
P 30.97 P.upf
CELL_PARAMETERS angstrom
3.780 0.000 0.000
0.000 3.844 0.000
0.000 0.000 4.198
ATOMIC_POSITIONS angstrom
Ni 0.000 0.000 0.000
Ag 0.000 1.922 2.099
Ag 1.890 0.000 2.099
P 1.890 1.922 0.000
```

Calculated values
M_tot = 0.00 μB per formula unit
SG = No. 47
DOS at the Fermi energy = 3.26 states/eV/cell
formation enthalpy at 0 K = 1.16 eV per formula unit



# 9
Material: LaCrSe2N
Method: DFT, PBE
State: optimized geometry Values from VASP.

The structure in Quantum ESPRESSO input format:
```
&SYSTEM
  ibrav = 0, nat = 5, ntyp = 4
/
ATOMIC_SPECIES
La 138.91 La.upf
Cr 52.00 Cr.upf
Se 78.96 Se.upf
N 14.01 N.upf
CELL_PARAMETERS angstrom
5.851 0.000 0.000
0.000 5.851 0.000
0.000 0.000 4.240
ATOMIC_POSITIONS angstrom
La 0.000 0.000 0.000
Cr 2.925 2.925 2.120
Se 0.000 2.925 0.000
Se 2.925 0.000 0.000
N 0.000 0.000 2.120
```

Calculated values
M_tot = 2.84 μB per formula unit
polymorph energy (0 for the lowest one) = 1302 meV per atom
SG = No. 123
formation energy without anion corrections = 411 meV/atom
DOS at the Fermi energy = 4.79 states/eV/cell



# 10
Material: Be17TcPt
Method: DFT, PBE
State: optimized geometry Values from VASP.

The structure in Quantum ESPRESSO input format:
```
&SYSTEM
  ibrav = 0, nat = 19, ntyp = 3
/
ATOMIC_SPECIES
Be 9.01 Be.upf
Tc 98.00 Tc.upf
Pt 195.08 Pt.upf
CELL_PARAMETERS angstrom
3.628 2.095 3.536
-3.628 2.095 3.536
0.000 -4.189 3.536
ATOMIC_POSITIONS angstrom
Be 0.000 0.000 0.548
Be 0.000 -2.169 3.340
Be -1.878 1.084 3.340
Be -1.099 -2.281 5.155
Be -2.524 0.189 5.155
Be 0.000 0.000 2.741
Be -1.790 -1.033 6.808
Be 1.099 -2.281 5.155
Be -1.426 2.092 5.155
Be 0.000 -2.048 7.071
Be -1.773 1.024 7.071
Be 1.878 1.084 3.340
Be 1.790 -1.033 6.808
Be 0.000 2.067 6.808
Be 2.524 0.189 5.155
Be 1.426 2.092 5.155
Be 1.773 1.024 7.071
Tc 0.000 0.000 8.646
Pt 0.000 0.000 5.373
```

Calculated values
M_tot = 0.00 μB per formula unit
SG = No. 160
DOS at the Fermi energy = 2.85 states/eV/cell
formation enthalpy at 0 K = -3.72 eV per formula unit



# 11
Material: CsRb2As
Method: DFT, PBE
State: optimized geometry Values from VASP.

The structure in Quantum ESPRESSO input format:
```
&SYSTEM
  ibrav = 0, nat = 4, ntyp = 3
/
ATOMIC_SPECIES
Cs 132.91 Cs.upf
Rb 85.47 Rb.upf
As 74.92 As.upf
CELL_PARAMETERS angstrom
5.637 0.000 0.000
0.000 5.637 0.000
0.000 0.000 5.559
ATOMIC_POSITIONS angstrom
Cs 0.000 0.000 0.000
Rb 0.000 2.818 2.780
Rb 2.818 0.000 2.780
As 2.818 2.818 0.000
```

Calculated values
M_tot = 0.02 μB per formula unit
SG = No. 123
DOS at the Fermi energy = 5.41 states/eV/cell
formation enthalpy at 0 K = -0.23 eV per formula unit



# 12
Material: Pm6In2Cu
Method: DFT, PBE
State: optimized geometry Values from VASP.

The structure in Quantum ESPRESSO input format:
```
&SYSTEM
  ibrav = 0, nat = 9, ntyp = 3
/
ATOMIC_SPECIES
Pm 145.00 Pm.upf
In 114.82 In.upf
Cu 63.55 Cu.upf
CELL_PARAMETERS angstrom
9.006 0.000 0.000
-4.503 7.799 0.000
0.000 0.000 3.783
ATOMIC_POSITIONS angstrom
Pm -1.126 1.951 0.000
Pm -2.705 4.684 1.891
Pm 2.253 0.000 0.000
Pm 1.798 3.115 1.891
Pm 5.409 0.000 1.891
Pm 3.377 5.848 0.000
In 0.000 5.200 0.000
In 4.503 2.600 0.000
Cu 0.000 0.000 1.891
```

Calculated values
M_tot = 0.00 μB per formula unit
SG = No. 189
DOS at the Fermi energy = 13.57 states/eV/cell
formation enthalpy at 0 K = -2.25 eV per formula unit